Entry from Alexandria: Ga2WF after structural relaxation (PBE with a Hubbard U).

a b c (Å): 6.5009 6.5009 6.5009
angles (deg): 90.00 90.00 90.00
Closest atoms and distances in Å follow each position.
Element x y z (fractional)
Ga 0.2500 0.2500 0.2500  4 F 2.81, 4 W 2.81
Ga 0.2500 0.2500 0.7500  4 F 2.81, 4 W 2.81
Ga 0.2500 0.7500 0.2500  4 F 2.81, 4 W 2.81
Ga 0.2500 0.7500 0.7500  4 F 2.81, 4 W 2.81
Ga 0.7500 0.2500 0.2500  4 F 2.81, 4 W 2.81
Ga 0.7500 0.2500 0.7500  4 F 2.81, 4 W 2.81
Ga 0.7500 0.7500 0.2500  4 F 2.81, 4 W 2.81
Ga 0.7500 0.7500 0.7500  4 W 2.81, 4 F 2.81
W 0.0000 0.0000 0.0000  8 Ga 2.81
W 0.0000 0.5000 0.5000  8 Ga 2.81
W 0.5000 0.0000 0.5000  8 Ga 2.81
W 0.5000 0.5000 0.0000  8 Ga 2.81
F 0.0000 0.0000 0.5000  8 Ga 2.81
F 0.0000 0.5000 0.0000  8 Ga 2.81
F 0.5000 0.0000 0.0000  8 Ga 2.81
F 0.5000 0.5000 0.5000  8 Ga 2.81

electronic total energy: -3.6549 eV/atom
ΔE to the lowest computed polymorph: 0.0000 eV per atom
space group: Fm-3m